DFT (PBE) results for a relaxed ZrPd2Pt2Au crystal.

Computed properties:
- Electronic total energy: -6.15 eV per atom
- Energy relative to the elements: -2.60 eV/f.u.
- Symmetry: No. 11
- Crystal system: monoclinic

Cell lengths 5.276, 5.070, 7.821 Å; angles 91.38, 90.00, 90.00 degrees
Fractional positions:
Zr  0.750  0.374  0.736
Zr  0.250  0.626  0.264
Pd  0.502  0.103  0.180
Pd  0.998  0.103  0.180
Pd  0.002  0.897  0.820
Pd  0.498  0.897  0.820
Pt  0.250  0.044  0.505
Pt  0.250  0.546  0.600
Pt  0.750  0.956  0.495
Pt  0.750  0.454  0.400
Au  0.250  0.377  0.928
Au  0.750  0.623  0.072